Density functional theory data (PBE-GGA) for a relaxed Np4AgPd12 crystal.

Output
energy of formation from the pure elements = -5.19 eV per formula unit
space group = Im-3m, No. 229
crystal system = cubic
electronic total energy = -122.11 eV/cell
V = 315 Å³ per cell

Unit cell a=7.426 b=7.426 c=7.426 alpha=109.47 beta=109.47 gamma=109.47
Positions (direct):
Pd  0.698  0.000  0.698
Pd  0.302  0.000  0.302
Np  0.000  0.500  0.000
Pd  0.500  0.250  0.750
Pd  0.000  0.302  0.302
Np  0.000  0.000  0.500
Pd  0.000  0.698  0.698
Pd  0.250  0.500  0.750
Pd  0.500  0.750  0.250
Np  0.500  0.500  0.500
Np  0.500  0.000  0.000
Ag  0.000  0.000  0.000
Pd  0.698  0.698  0.000
Pd  0.302  0.302  0.000
Pd  0.250  0.750  0.500
Pd  0.750  0.250  0.500
Pd  0.750  0.500  0.250


Density functional theory data (PBE-GGA) for a relaxed PuNpAgPd crystal.

Output
energy of formation from the pure elements = -0.22 eV per formula unit
space group = F-43m, No. 216
crystal system = cubic
electronic total energy = -35.53 eV/cell
V = 79 Å³ per cell

Unit cell a=4.823 b=4.823 c=4.823 alpha=60.00 beta=60.00 gamma=60.00
Positions (direct):
Ag  0.000  0.000  0.000
Np  0.500  0.500  0.500
Pu  0.750  0.750  0.750
Pd  0.250  0.250  0.250


Density functional theory data (PBE-GGA) for a relaxed NpAgPdRh crystal.

Output
energy of formation from the pure elements = -0.59 eV per formula unit
space group = F-43m, No. 216
crystal system = cubic
electronic total energy = -28.93 eV/cell
V = 73 Å³ per cell

Unit cell a=4.695 b=4.695 c=4.695 alpha=60.00 beta=60.00 gamma=60.00
Positions (direct):
Pd  0.000  0.000  0.000
Ag  0.250  0.250  0.250
Rh  0.500  0.500  0.500
Np  0.750  0.750  0.750


Density functional theory data (PBE-GGA) for a relaxed Np2Ag3PdS6 crystal.

Output
space group = C2/m, No. 12
E_form (uncorrected) = -0.6207 eV/atom
crystal system = monoclinic
electronic total energy = -71.84 eV/cell
V = 241 Å³ per cell

Unit cell a=6.754 b=6.754 c=6.499 alpha=100.19 beta=100.19 gamma=119.57
Positions (direct):
S  0.745  0.745  0.250
Ag  0.819  0.181  0.500
Np  0.665  0.335  0.000
S  0.923  0.599  0.768
S  0.077  0.401  0.232
Ag  0.500  0.500  0.500
Pd  0.000  0.000  0.000
Ag  0.181  0.819  0.500
S  0.255  0.255  0.750
Np  0.335  0.665  0.000
S  0.401  0.077  0.232
S  0.599  0.923  0.768


Density functional theory data (PBE-GGA) for a relaxed NpAgPdS3 crystal.

Output
space group = P2_1/m, No. 11
E_form (uncorrected) = -0.6386 eV/atom
crystal system = monoclinic
electronic total energy = -74.40 eV/cell
V = 242 Å³ per cell

Unit cell a=3.711 b=8.255 c=8.147 alpha=104.01 beta=90.00 gamma=90.00
Positions (direct):
Np  0.250  0.176  0.217
S  0.750  0.251  0.476
Np  0.750  0.824  0.783
Ag  0.750  0.398  0.792
S  0.250  0.632  0.887
Pd  0.250  0.128  0.597
S  0.750  0.368  0.113
Pd  0.750  0.872  0.403
S  0.750  0.936  0.134
S  0.250  0.749  0.524
Ag  0.250  0.602  0.208
S  0.250  0.064  0.866


Density functional theory data (PBE-GGA) for a relaxed NpAgSbPd crystal.

Output
space group = F-43m, No. 216
E_form (uncorrected) = -0.0275 eV/atom
crystal system = cubic
electronic total energy = -25.22 eV/cell
V = 86 Å³ per cell

Unit cell a=4.959 b=4.959 c=4.959 alpha=60.00 beta=60.00 gamma=60.00
Positions (direct):
Sb  0.750  0.750  0.750
Pd  0.500  0.500  0.500
Np  0.000  0.000  0.000
Ag  0.250  0.250  0.250


Density functional theory data (PBE-GGA) for a relaxed NpAg2PdSe4 crystal.

Output
space group = Cmcm, No. 63
E_form (uncorrected) = -0.3702 eV/atom
crystal system = orthorhombic
electronic total energy = -81.47 eV/cell
V = 352 Å³ per cell

Unit cell a=3.973 b=6.961 c=13.261 alpha=90.00 beta=90.00 gamma=106.58
Positions (direct):
Ag  0.374  0.747  0.571
Se  0.297  0.593  0.382
Ag  0.626  0.253  0.071
Np  0.882  0.764  0.250
Ag  0.626  0.253  0.429
Se  0.297  0.593  0.118
Se  0.000  0.000  0.500
Se  0.703  0.407  0.882
Se  0.466  0.931  0.750
Se  0.000  0.000  0.000
Ag  0.374  0.747  0.929
Se  0.703  0.407  0.618
Pd  0.159  0.319  0.250
Se  0.534  0.069  0.250
Pd  0.841  0.681  0.750
Np  0.118  0.236  0.750


Density functional theory data (PBE-GGA) for a relaxed NpAgPdSe3 crystal.

Output
space group = P2_1/m, No. 11
E_form (uncorrected) = -0.5385 eV/atom
crystal system = monoclinic
electronic total energy = -69.34 eV/cell
V = 263 Å³ per cell

Unit cell a=3.904 b=7.706 c=8.919 alpha=101.48 beta=90.00 gamma=90.00
Positions (direct):
Ag  0.250  0.650  0.199
Pd  0.250  0.103  0.595
Se  0.250  0.733  0.514
Se  0.750  0.267  0.486
Np  0.750  0.821  0.757
Np  0.250  0.179  0.243
Se  0.750  0.921  0.122
Se  0.250  0.610  0.866
Se  0.750  0.390  0.134
Pd  0.750  0.897  0.405
Ag  0.750  0.350  0.801
Se  0.250  0.079  0.878


Density functional theory data (PBE-GGA) for a relaxed Np2Ag3PdSe6 crystal.

Output
space group = C2/m, No. 12
E_form (uncorrected) = -0.5294 eV/atom
crystal system = monoclinic
electronic total energy = -66.89 eV/cell
V = 274 Å³ per cell

Unit cell a=7.051 b=7.051 c=6.749 alpha=99.52 beta=99.52 gamma=120.16
Positions (direct):
Se  0.243  0.243  0.751
Np  0.336  0.664  0.000
Ag  0.812  0.188  0.500
Se  0.076  0.391  0.239
Se  0.609  0.924  0.761
Ag  0.500  0.500  0.500
Se  0.391  0.076  0.239
Ag  0.188  0.812  0.500
Pd  0.000  0.000  0.000
Se  0.757  0.757  0.249
Np  0.664  0.336  0.000
Se  0.924  0.609  0.761


Density functional theory data (PBE-GGA) for a relaxed Np3Ag4PdSe8 crystal.

Output
space group = C2/m, No. 12
E_form (uncorrected) = -0.5781 eV/atom
crystal system = monoclinic
electronic total energy = -92.55 eV/cell
V = 379 Å³ per cell

Unit cell a=8.148 b=8.018 c=8.428 alpha=122.79 beta=118.90 gamma=90.00
Positions (direct):
Se  0.722  0.220  0.444
Se  0.219  0.722  0.993
Se  0.781  0.278  0.007
Np  0.000  0.500  0.500
Se  0.278  0.780  0.556
Se  0.774  0.722  0.993
Se  0.747  0.746  0.493
Ag  0.000  0.000  0.000
Ag  0.000  0.000  0.500
Np  0.500  0.500  0.500
Se  0.253  0.254  0.507
Pd  0.000  0.500  0.000
Ag  0.500  0.000  0.500
Ag  0.500  0.000  0.000
Np  0.500  0.500  0.000
Se  0.226  0.278  0.007


Density functional theory data (PBE-GGA) for a relaxed NpAgSnPd crystal.

Output
energy of formation from the pure elements = -0.44 eV per formula unit
space group = F-43m, No. 216
crystal system = cubic
electronic total energy = -25.43 eV/cell
V = 84 Å³ per cell

Unit cell a=4.921 b=4.921 c=4.921 alpha=60.00 beta=60.00 gamma=60.00
Positions (direct):
Ag  0.500  0.500  0.500
Sn  0.250  0.250  0.250
Np  0.750  0.750  0.750
Pd  0.000  0.000  0.000


Density functional theory data (PBE-GGA) for a relaxed Pm2NpAg3Se6 crystal.

Output
space group = C2/m, No. 12
E_form (uncorrected) = -0.9997 eV/atom
crystal system = monoclinic
electronic total energy = -63.90 eV/cell
V = 306 Å³ per cell

Unit cell a=4.239 b=7.855 c=9.547 alpha=98.97 beta=102.83 gamma=90.00
Positions (direct):
Se  0.332  0.416  0.664
Pm  0.830  0.677  0.660
Ag  0.500  0.500  0.000
Se  0.668  0.584  0.336
Se  0.660  0.058  0.320
Se  0.991  0.745  0.982
Ag  0.807  0.188  0.614
Se  0.340  0.942  0.680
Pm  0.170  0.323  0.340
Np  0.500  0.000  0.000
Ag  0.193  0.812  0.386
Se  0.009  0.255  0.018


Density functional theory data (PBE-GGA) for a relaxed Pr2NpAgS5 crystal.

Output
space group = Cmc2_1, No. 36
E_form (uncorrected) = -1.4795 eV/atom
crystal system = orthorhombic
electronic total energy = -118.61 eV/cell
V = 409 Å³ per cell

Unit cell a=4.014 b=8.574 c=12.218 alpha=90.00 beta=90.00 gamma=103.54
Positions (direct):
S  0.642  0.283  0.500
S  0.500  0.001  0.273
Ag  0.474  0.948  0.469
Ag  0.526  0.052  0.969
S  0.695  0.390  0.845
S  0.954  0.907  0.582
Np  0.194  0.388  0.005
S  0.291  0.582  0.660
S  0.046  0.093  0.082
Np  0.806  0.612  0.505
S  0.709  0.418  0.160
S  0.358  0.717  0.000
Pr  0.886  0.772  0.186
S  0.500  0.999  0.773
Pr  0.114  0.228  0.687
Pr  0.874  0.749  0.804
Pr  0.126  0.251  0.304
S  0.305  0.610  0.345


Density functional theory data (PBE-GGA) for a relaxed Pr3NpAg3Se8 crystal.

Output
space group = C2/m, No. 12
E_form (uncorrected) = -1.1266 eV/atom
crystal system = monoclinic
electronic total energy = -80.61 eV/cell
V = 411 Å³ per cell

Unit cell a=8.663 b=8.660 c=8.078 alpha=122.52 beta=90.00 gamma=120.01
Positions (direct):
Ag  0.000  0.000  0.000
Np  0.000  0.000  0.500
Se  0.758  0.515  0.253
Se  0.758  0.995  0.253
Pr  0.500  0.500  0.500
Pr  0.000  0.500  0.500
Pr  0.500  0.000  0.500
Se  0.242  0.005  0.747
Ag  0.500  0.500  0.000
Se  0.237  0.995  0.253
Se  0.242  0.485  0.747
Se  0.247  0.494  0.243
Se  0.753  0.506  0.757
Ag  0.000  0.500  0.000
Se  0.763  0.005  0.747


Density functional theory data (PBE-GGA) for a relaxed PrNpAg2Te4 crystal.

Output
space group = I222, No. 23
E_form (uncorrected) = -0.5034 eV/atom
crystal system = orthorhombic
electronic total energy = -40.02 eV/cell
V = 245 Å³ per cell

Unit cell a=7.709 b=6.832 c=6.832 alpha=68.41 beta=55.66 gamma=55.66
Positions (direct):
Te  0.953  0.552  0.043
Te  0.548  0.448  0.957
Ag  0.170  0.330  0.330
Pr  0.500  0.500  0.500
Te  0.047  0.957  0.448
Te  0.452  0.043  0.552
Ag  0.830  0.670  0.670
Np  0.000  0.000  0.000


Density functional theory data (PBE-GGA) for a relaxed NpAgPt2 crystal.

Output
energy of formation from the pure elements = -1.16 eV per formula unit
space group = P4/mmm, No. 123
crystal system = tetragonal
electronic total energy = -29.04 eV/cell
V = 76 Å³ per cell

Unit cell a=3.778 b=4.477 c=4.477 alpha=90.00 beta=90.00 gamma=90.00
Positions (direct):
Pt  0.000  0.500  0.000
Np  0.500  0.500  0.500
Pt  0.000  0.000  0.500
Ag  0.500  0.000  0.000


Density functional theory data (PBE-GGA) for a relaxed NpAgPt2 crystal.

Output
energy of formation from the pure elements = -1.14 eV per formula unit
space group = P4/mmm, No. 123
crystal system = tetragonal
electronic total energy = -29.01 eV/cell
V = 76 Å³ per cell

Unit cell a=3.424 b=3.424 c=6.451 alpha=90.00 beta=90.00 gamma=90.00
Positions (direct):
Np  0.500  0.500  0.000
Ag  0.500  0.500  0.500
Pt  0.000  0.000  0.261
Pt  0.000  0.000  0.739


Density functional theory data (PBE-GGA) for a relaxed NpAgPt crystal.

Output
energy of formation from the pure elements = -0.49 eV per formula unit
space group = C2/m, No. 12
crystal system = monoclinic
electronic total energy = -44.64 eV/cell
V = 111 Å³ per cell

Unit cell a=2.930 b=4.657 c=8.306 alpha=94.94 beta=100.14 gamma=89.99
Positions (direct):
Ag  0.274  0.258  0.048
Pt  0.617  0.204  0.735
Pt  0.383  0.796  0.265
Np  0.953  0.292  0.406
Ag  0.726  0.742  0.952
Np  0.047  0.708  0.594


Density functional theory data (PBE-GGA) for a relaxed Np2AgPt9 crystal.

Output
energy of formation from the pure elements = -4.95 eV per formula unit
space group = P4/mmm, No. 123
crystal system = tetragonal
electronic total energy = -88.05 eV/cell
V = 207 Å³ per cell

Unit cell a=4.127 b=4.127 c=12.162 alpha=90.00 beta=90.00 gamma=90.00
Positions (direct):
Pt  0.500  0.000  0.500
Pt  0.500  0.500  0.000
Np  0.000  0.000  0.675
Pt  0.000  0.500  0.164
Np  0.000  0.000  0.325
Pt  0.000  0.500  0.836
Pt  0.500  0.500  0.332
Ag  0.000  0.000  0.000
Pt  0.500  0.000  0.164
Pt  0.500  0.000  0.836
Pt  0.500  0.500  0.668
Pt  0.000  0.500  0.500


Density functional theory data (PBE-GGA) for a relaxed PuNpAgPt crystal.

Output
energy of formation from the pure elements = -0.90 eV per formula unit
space group = F-43m, No. 216
crystal system = cubic
electronic total energy = -37.06 eV/cell
V = 79 Å³ per cell

Unit cell a=4.823 b=4.823 c=4.823 alpha=60.00 beta=60.00 gamma=60.00
Positions (direct):
Pu  0.000  0.000  0.000
Pt  0.500  0.500  0.500
Np  0.750  0.750  0.750
Ag  0.250  0.250  0.250